First-principles (PBE+U) data for Cs2MnWO6 after structural relaxation, as listed in Alexandria.

Properties
Its total magnetic moment is 2.975 Bohr magnetons per cell. The calculation puts the total DFT energy (no corrections) at -6.335 eV per atom.

Cell lengths 6.5881, 6.5881, 5.1961 Å; angles 90.00, 90.00, 120.00 degrees
Space group P-3m1 (No. 164)
Inequivalent atoms, fractional coordinates:
Cs 0.3333 0.6667 0.2925 (multiplicity 2)
Mn 0.0000 0.0000 0.5000 (multiplicity 1)
W 0.0000 0.0000 0.0000 (multiplicity 1)
O 0.1297 0.2594 0.7515 (multiplicity 6)